ScIn2Mo | SCAN | PBEsol geometry

Summary:
Total moment, μB/cell: 0.01
Space group: Cmm2
Formation enthalpy at 0 K, eV/atom: 0.14
Volume, Å³/atom: 20.22

Cell and atoms, written as extended XYZ:
```
8
Lattice="3.629 0.000 0.000 0.000 4.897 0.000 0.000 0.000 9.101" Properties=species:S:1:pos:R:3 pbc="T T T"
Sc 0.000 0.000 0.000
Sc 1.814 2.449 0.000
In 0.000 0.000 4.154
In 0.000 2.449 6.636
In 1.814 0.000 6.636
In 1.814 2.449 4.154
Mo 0.000 2.449 2.041
Mo 1.814 0.000 2.041
```

***

Mn2ICl2 | SCAN | PBEsol geometry

Summary:
Total moment, μB/cell: 8.90
Space group: I4/mmm
Volume, Å³/atom: 20.48
Energy relative to the elements, uncorrected, meV/atom: 63

Cell and atoms, written as extended XYZ:
```
10
Lattice="3.530 0.000 0.000 0.000 3.530 0.000 0.000 0.000 16.432" Properties=species:S:1:pos:R:3 pbc="T T T"
Mn 0.000 1.765 4.108
Mn 0.000 1.765 12.324
Mn 1.765 0.000 4.108
Mn 1.765 0.000 12.324
I 0.000 0.000 0.000
I 1.765 1.765 8.216
Cl 0.000 0.000 5.403
Cl 0.000 0.000 11.028
Cl 1.765 1.765 2.812
Cl 1.765 1.765 13.619
```

***

KLaCl2 | SCAN | PBEsol geometry

Summary:
Total moment, μB/cell: 0.00
Space group: P4/mmm
Volume, Å³/atom: 25.49
Energy relative to the elements, uncorrected, meV/atom: -1729

Cell and atoms, written as extended XYZ:
```
4
Lattice="4.135 0.000 0.000 0.000 4.135 0.000 0.000 0.000 5.964" Properties=species:S:1:pos:R:3 pbc="T T T"
K 0.000 0.000 0.000
La 2.067 2.067 2.982
Cl 0.000 0.000 2.982
Cl 2.067 2.067 0.000
```